Entry 1:
Density functional theory data (PBE) for crystalline LiTePbI2 at its relaxed geometry.

Cell lengths 6.313, 6.313, 6.003 Å; angles 90.00, 90.00, 90.00 degrees
Fractional coordinates of all 5 atoms:
Pb 0.000 0.000 0.000
I 0.500 0.000 0.000
I 0.000 0.500 0.000
Te 0.000 0.000 0.500
Li 0.500 0.500 0.500

## Properties
E_form (uncorrected), eV/atom: -0.216
Calculated density, Mg/m³: 4.1
Energy above the most stable polymorph in this dataset, meV per atom: 46

=====

Entry 2:
Density functional theory data (PBE) for crystalline LiTlPbI4 at its relaxed geometry.

Cell lengths 7.702, 8.307, 9.336 Å; angles 90.00, 107.19, 90.00 degrees
Fractional coordinates of all 14 atoms:
Pb 0.220 0.250 0.555
Pb 0.780 0.750 0.445
I 0.005 0.502 0.730
I 0.534 0.250 0.397
I 0.466 0.750 0.603
I 0.995 0.498 0.270
I 0.995 0.002 0.270
I 0.005 0.998 0.730
I 0.460 0.750 0.137
I 0.540 0.250 0.863
Li 0.761 0.250 0.683
Li 0.239 0.750 0.317
Tl 0.219 0.250 0.053
Tl 0.781 0.750 0.947

## Properties
E_form (uncorrected), eV/atom: -0.769
Calculated density, Mg/m³: 5.4

=====

Entry 3:
Density functional theory data (PBE) for crystalline LiTl2PbI5 at its relaxed geometry.

Cell lengths 4.686, 10.494, 15.356 Å; angles 90.00, 90.00, 102.90 degrees
Fractional coordinates of all 18 atoms:
Pb 0.793 0.586 0.531
Pb 0.207 0.414 0.031
Tl 0.126 0.253 0.323
Tl 0.874 0.747 0.823
Tl 0.094 0.187 0.666
Tl 0.906 0.813 0.166
I 0.308 0.617 0.385
I 0.281 0.563 0.679
I 0.363 0.725 0.001
I 0.637 0.275 0.501
I 0.504 0.009 0.275
I 0.496 0.991 0.775
I 0.954 0.908 0.530
I 0.046 0.092 0.030
I 0.692 0.383 0.885
I 0.719 0.437 0.179
Li 0.443 0.886 0.433
Li 0.557 0.114 0.933

## Properties
E_form (uncorrected), eV/atom: -0.776
Calculated density, Mg/m³: 5.7

=====

| no. | DFT total energy (eV per cell) |
| --- | --- |
| 1 | -12.94 |
| 2 | -39.15 |
| 3 | -50.17 |